Here is a geometry-optimized PaSeN structure from Alexandria. Energies are from GGA-PBE.

Lattice parameters (Å, degrees): 4.381 4.381 4.381 60.00 60.00 60.00
Element x y z (fractional)
Pa 0.250 0.250 0.250
N 0.500 0.500 0.500
Se 0.000 0.000 0.000

Total magnetization   0.00 Bohr magnetons per cell
Crystal system   cubic
Energy above the lowest structure with this stoichiometry   1071 meV per atom
Energy relative to the elements, uncorrected   -707 meV/atom